{
  "formula": "La8Zn3I4Cl",
  "functional": "GGA-PBE",
  "state": "optimized geometry",
  "e_form_raw_ev_per_atom": -0.805,
  "dft_energy_ev_per_atom": -4.011,
  "lattice_angstrom": [[4.267, 2.464, 8.142], [-4.267, 2.464, 8.142], [0.000, -4.928, 8.142]],
  "species": ["La", "La", "La", "La", "La", "La", "La", "La", "Zn", "Zn", "Zn", "I", "I", "I", "I", "Cl"],
  "fractional_positions": [[0.240, 0.240, 0.240], [0.249, 0.733, 0.733], [0.267, 0.267, 0.751], [0.267, 0.751, 0.267], [0.733, 0.249, 0.733], [0.733, 0.733, 0.249], [0.751, 0.267, 0.267], [0.760, 0.760, 0.760], [0.000, 0.000, 0.500], [0.000, 0.500, 0.000], [0.500, 0.000, 0.000], [0.000, 0.000, 0.000], [0.000, 0.500, 0.500], [0.500, 0.000, 0.500], [0.500, 0.500, 0.000], [0.500, 0.500, 0.500]]
}